1.
Below is crystalline KInS2 at its relaxed geometry, with properties calculated at the PBEsol level.

Output
N(E_F) (states/eV/f.u.): 0.0
Formation energy without anion corrections (eV/atom): -0.916
Calculated total energy (eV per formula unit): -16.6
Density (g/cm3): 3.23

a b c (Å): 7.167 7.167 8.722
angles (deg): 90.00 90.00 90.00
Space group I-42d (No. 122)
Symmetry-distinct sites (fractional):
K  0.000  0.000  0.000 [4 per cell]
In  0.000  0.000  0.500 [4 per cell]
S  0.180  0.250  0.625 [8 per cell]

---

2.
Below is crystalline KIn5S8 at its relaxed geometry, with properties calculated at the PBEsol level.

Output
Formation energy without anion corrections (eV/atom): -0.696
Calculated total energy (eV per formula unit): -60.9
Density (g/cm3): 4.44

a b c (Å): 19.002 3.843 9.145
angles (deg): 90.00 103.03 90.00
Space group Cm (No. 8)
Symmetry-distinct sites (fractional):
K  0.000  0.000  0.000 [2 per cell]
In  0.019  0.500  0.488 [2 per cell]
In  0.164  0.000  0.396 [2 per cell]
In  0.230  0.000  0.826 [2 per cell]
In  0.306  0.500  0.150 [2 per cell]
In  0.373  0.500  0.576 [2 per cell]
S  0.088  0.500  0.268 [2 per cell]
S  0.104  0.000  0.614 [2 per cell]
S  0.183  0.500  0.967 [2 per cell]
S  0.254  0.500  0.637 [2 per cell]
S  0.283  0.000  0.338 [2 per cell]
S  0.355  0.000  0.008 [2 per cell]
S  0.434  0.500  0.359 [2 per cell]
S  0.449  0.000  0.705 [2 per cell]

---

3.
Below is crystalline KIn2Sb at its relaxed geometry, with properties calculated at the PBEsol level.

Output
N(E_F) (states/eV/f.u.): 2.2
Formation energy without anion corrections (eV/atom): -0.084
Calculated total energy (eV per formula unit): -12.0
Density (g/cm3): 5.85

a b c (Å): 4.680 4.850 4.884
angles (deg): 90.00 90.00 90.00
Space group Pmmm (No. 47)
Symmetry-distinct sites (fractional):
K  0.000  0.000  0.000 [1 per cell]
In  0.000  0.500  0.500 [1 per cell]
In  0.500  0.000  0.500 [1 per cell]
Sb  0.500  0.500  0.000 [1 per cell]

---

4.
Below is crystalline KIn2Sb at its relaxed geometry, with properties calculated at the PBEsol level.

Output
N(E_F) (states/eV/f.u.): 2.1
Formation energy without anion corrections (eV/atom): -0.117
Calculated total energy (eV per formula unit): -12.1
Density (g/cm3): 5.82

a b c (Å): 3.216 5.467 6.332
angles (deg): 90.00 90.22 90.00
Space group P2/m (No. 10)
Symmetry-distinct sites (fractional):
K  0.000  0.000  0.000 [1 per cell]
In  0.495  0.500  0.744 [2 per cell]
Sb  0.500  0.000  0.500 [1 per cell]

---

5.
Below is crystalline KIn2Sb2 at its relaxed geometry, with properties calculated at the PBEsol level.

Output
N(E_F) (states/eV/f.u.): 0.8
Formation energy without anion corrections (eV/atom): -0.210
Calculated total energy (eV per formula unit): -17.3
Density (g/cm3): 5.00

a b c (Å): 4.855 4.855 14.444
angles (deg): 90.00 90.00 90.00
Space group I4/mmm (No. 139)
Symmetry-distinct sites (fractional):
K  0.000  0.000  0.000 [2 per cell]
In  0.000  0.500  0.250 [4 per cell]
Sb  0.000  0.000  0.368 [4 per cell]

---

6.
Below is crystalline KInSb at its relaxed geometry, with properties calculated at the PBEsol level.

Output
N(E_F) (states/eV/f.u.): 0.0
Formation energy without anion corrections (eV/atom): -0.350
Calculated total energy (eV per formula unit): -9.7
Density (g/cm3): 4.34

a b c (Å): 11.587 4.603 8.041
angles (deg): 90.00 100.56 90.00
Space group C2/m (No. 12)
Symmetry-distinct sites (fractional):
K  0.120  0.000  0.317 [4 per cell]
In  0.116  0.500  0.954 [4 per cell]
Sb  0.177  0.000  0.769 [4 per cell]